[1]
Here is a geometry-optimized CaReMo2 structure from Alexandria via LeMat-Bulk. Energies are from PBEsol.

E_form, eV/atom: 0.78
Calculated density, kg/m³: 10372
Calculated total energy, eV per atom: -8.9691

Lattice parameters (Å, degrees): 5.4584 5.4584 2.6208 90.00 90.00 120.97
Last column: nearest neighbours and their distance in Å.
Atoms (fractional coordinates):
Ca1 0.0000 0.0000 0.0000  2 Ca 2.62, 2 Re 2.69
Re1 0.5000 0.5000 0.0000  2 Re 2.62, 2 Ca 2.69
Mo1 0.0000 0.5000 0.5000  4 Mo 2.62-2.69
Mo2 0.5000 0.0000 0.5000  4 Mo 2.62-2.69

[2]
Here is a geometry-optimized CaReMo2 structure from Alexandria via LeMat-Bulk. Energies are from PBEsol.

E_form, eV/atom: 0.59
Calculated density, kg/m³: 10227
Calculated total energy, eV per atom: -9.1637

Lattice parameters (Å, degrees): 2.7071 4.4496 5.7002 90.00 98.55 90.00
Last column: nearest neighbours and their distance in Å.
Atoms (fractional coordinates):
Ca1 0.0000 0.0000 0.0000  2 Ca 2.71, 4 Mo 2.88, 2 Re 2.97
Re1 0.5000 0.0000 0.5000  4 Mo 2.69, 2 Re 2.71, 2 Ca 2.97
Mo1 0.2512 0.5000 0.7190  3 Mo 2.66-2.71, 2 Re 2.69, 2 Ca 2.88
Mo2 0.7488 0.5000 0.2810  3 Mo 2.66-2.71, 2 Re 2.69, 2 Ca 2.88

[3]
Here is a geometry-optimized Ca2MoRhSe structure from Alexandria via LeMat-Bulk. Energies are from PBEsol.

E_form (uncorrected), eV per atom: 0.826
Calculated density, kg/m³: 4517
Calculated total energy, eV per atom: -4.7781

Lattice parameters (Å, degrees): 5.3535 5.3535 4.5915 90.00 90.00 90.00
Last column: nearest neighbours and their distance in Å.
Atoms (fractional coordinates):
Ca1 0.0000 0.5000 0.0000  2 Mo 2.68
Ca2 0.5000 0.0000 0.0000  2 Mo 2.68
Mo1 0.0000 0.0000 0.0000  2 Se 2.30
Rh1 0.5000 0.5000 0.5000  8 Ca 3.53, 4 Se 3.79
Se1 0.0000 0.0000 0.5000  2 Mo 2.30